An optimized crystal structure of PuHf2Zr. Source: Alexandria, functional PBE.

Cell and atoms, written as extended XYZ:
```
4
Lattice="-3.537 3.599 -0.157 -3.843 -0.093 3.273 -0.263 3.443 3.683" Properties=species:S:1:pos:R:3 pbc="T T T"
Hf -1.911 1.737 1.700
Hf -5.732 5.212 5.100
Zr -3.821 3.475 3.400
Pu 0.000 0.000 0.000
```

---

An optimized crystal structure of PuHf3Zr2. Source: Alexandria, functional PBE.

Cell and atoms, written as extended XYZ:
```
12
Lattice="-3.821 -0.293 1.225 1.010 -8.095 1.216 2.186 2.733 7.468" Properties=species:S:1:pos:R:3 pbc="T T T"
Pu -0.753 -5.388 9.472
Pu -1.724 -0.409 1.032
Hf -2.015 -4.782 5.692
Hf -0.744 -3.564 3.342
Hf -1.738 -2.234 7.163
Hf -0.467 -1.015 4.814
Hf 0.510 -4.160 7.107
Hf -2.991 -1.637 3.398
Zr -0.227 -6.715 4.200
Zr -2.952 -5.496 2.601
Zr 0.469 -0.301 7.904
Zr -2.255 0.918 6.305
```

---

An optimized crystal structure of PuHf3Zr2. Source: Alexandria, functional PBE.

Cell and atoms, written as extended XYZ:
```
12
Lattice="-1.711 2.623 -0.128 -6.726 0.955 -5.970 -9.144 -3.790 6.115" Properties=species:S:1:pos:R:3 pbc="T T T"
Pu -9.825 -0.742 0.821
Pu -7.755 0.529 -0.803
Hf -9.814 -0.592 3.894
Hf -7.767 0.380 -3.876
Hf -15.698 -0.818 0.839
Hf -1.883 0.606 -0.821
Hf -13.610 0.458 -0.775
Hf -3.971 -0.671 0.793
Zr -12.766 -0.720 2.176
Zr -4.815 0.507 -2.158
Zr -6.884 -0.629 2.231
Zr -10.697 0.416 -2.214
```

---

An optimized crystal structure of PuHf14Zr. Source: Alexandria, functional PBE.

Cell and atoms, written as extended XYZ:
```
16
Lattice="6.376 -0.388 0.000 -2.856 5.714 0.000 0.000 0.000 10.250" Properties=species:S:1:pos:R:3 pbc="T T T"
Pu 2.145 2.409 5.125
Hf -0.927 4.439 0.000
Hf 3.673 1.399 0.000
Hf -1.049 2.596 5.125
Hf 0.508 1.595 0.000
Hf 0.720 5.274 5.125
Hf 2.252 4.234 0.000
Hf 2.044 0.568 7.717
Hf 2.044 0.568 2.533
Hf 3.799 3.223 7.717
Hf 3.799 3.223 2.533
Hf 0.605 3.426 7.703
Hf 0.605 3.426 2.547
Hf 5.212 0.381 7.713
Hf 5.212 0.381 2.537
Zr -2.479 5.465 5.125
```

---

An optimized crystal structure of PuHf6Zr5. Source: Alexandria, functional PBE.

Cell and atoms, written as extended XYZ:
```
12
Lattice="-3.086 -0.564 -4.551 0.726 -7.035 -0.681 -6.077 -1.693 3.269" Properties=species:S:1:pos:R:3 pbc="T T T"
Hf -4.793 -1.714 -2.098
Hf -5.926 -5.786 1.459
Hf -2.113 -2.331 -0.487
Hf -6.324 -6.961 -1.477
Hf -2.512 -3.506 -3.423
Hf -3.644 -7.578 0.134
Zr -6.497 -2.857 0.341
Zr -3.823 -3.463 1.960
Zr -4.219 -4.646 -0.982
Zr -1.529 -5.265 0.628
Zr -1.941 -6.435 -2.305
Pu 0.000 0.000 0.000
```

---

An optimized crystal structure of PuHf5Zr12. Source: Alexandria, functional PBE.

Cell and atoms, written as extended XYZ:
```
18
Lattice="-5.036 1.302 -1.941 -2.804 -3.651 -3.114 -8.213 -5.542 12.219" Properties=species:S:1:pos:R:3 pbc="T T T"
Pu 0.000 0.000 0.000
Hf -6.624 -2.120 5.139
Hf -6.815 -4.990 3.709
Hf -9.237 -2.901 3.455
Hf -5.226 -1.565 -3.370
Hf -2.613 -0.784 -1.685
Zr -7.245 -0.707 2.386
Zr -6.004 -3.533 7.892
Zr -4.388 -0.132 0.851
Zr -8.861 -4.108 9.427
Zr -4.636 -2.950 -0.583
Zr -8.989 -6.956 8.038
Zr -7.064 -0.935 -0.874
Zr -11.416 -4.941 7.747
Zr -8.618 -4.315 6.208
Zr -11.231 -5.101 4.522
Zr -4.821 -2.790 2.642
Zr -7.434 -3.576 0.956
```

---

An optimized crystal structure of PuHfZr3. Source: Alexandria, functional PBE.

Cell and atoms, written as extended XYZ:
```
10
Lattice="5.389 0.000 -0.106 0.000 5.953 0.000 -2.759 0.000 7.348" Properties=species:S:1:pos:R:3 pbc="T T T"
Pu -0.524 1.488 5.919
Pu 3.153 4.465 1.323
Hf 0.550 4.465 0.023
Hf 2.080 1.488 7.219
Zr -0.050 0.002 2.862
Zr 2.680 2.979 4.380
Zr 2.680 5.951 4.380
Zr -0.050 2.974 2.862
Zr 2.222 1.488 1.496
Zr 0.407 4.465 5.746
```

---

An optimized crystal structure of PuHf3Zr4. Source: Alexandria, functional PBE.

Cell and atoms, written as extended XYZ:
```
16
Lattice="-4.203 -1.600 0.561 3.311 -7.252 4.127 -0.560 4.248 7.914" Properties=species:S:1:pos:R:3 pbc="T T T"
Hf -0.319 -5.400 2.876
Hf 1.649 -3.557 4.574
Hf -1.262 -2.578 3.862
Hf 0.707 -0.734 5.561
Hf -1.541 -0.462 7.804
Hf 1.368 -1.425 8.546
Zr 2.622 -6.441 3.642
Zr -1.934 -1.864 0.864
Zr 0.010 0.039 2.546
Zr 0.377 -6.174 5.891
Zr 2.321 -4.270 7.573
Zr -2.235 0.306 4.794
Zr 0.097 -4.043 9.860
Zr -0.269 2.157 6.491
Pu 0.970 -2.820 1.582
Pu -0.582 -3.314 6.854
```

---

An optimized crystal structure of RbHf. Source: Alexandria, functional PBE.

Cell and atoms, written as extended XYZ:
```
12
Lattice="-2.160 2.268 1.141 -5.351 1.111 -12.340 -6.606 -7.398 2.199" Properties=species:S:1:pos:R:3 pbc="T T T"
Rb -8.866 -4.006 -8.823
Rb -7.475 -4.847 0.351
Rb -3.071 0.085 -1.115
Rb -6.663 -1.540 -9.556
Rb -4.461 0.926 -10.288
Rb -5.273 -2.381 -0.382
Hf -8.551 -5.533 -5.191
Hf -7.790 -3.320 -3.281
Hf -5.588 -0.854 -4.014
Hf -4.146 -0.601 -6.657
Hf -6.349 -3.067 -5.924
Hf -3.386 1.612 -4.747
```

---

An optimized crystal structure of RbHf. Source: Alexandria, functional PBE.

Cell and atoms, written as extended XYZ:
```
16
Lattice="-2.665 16.435 1.055 -14.945 -1.964 -7.149 -1.319 -0.398 2.868" Properties=species:S:1:pos:R:3 pbc="T T T"
Rb -11.695 6.175 -4.523
Rb -5.915 8.295 -1.570
Rb -7.665 4.018 -2.969
Rb -9.945 10.452 -3.125
Rb -6.214 15.176 1.012
Rb -12.715 -1.103 -4.238
Rb -17.130 11.055 -4.582
Rb -1.800 3.018 1.356
Hf -4.350 4.740 -1.344
Hf -13.260 9.731 -4.750
Hf -6.769 11.957 -1.455
Hf -10.841 2.513 -4.639
Hf -13.815 11.776 -2.956
Hf -5.115 2.297 -0.269
Hf -13.569 2.558 -4.122
Hf -5.361 11.514 0.897
```

---

An optimized crystal structure of RbHf. Source: Alexandria, functional PBE.

Cell and atoms, written as extended XYZ:
```
12
Lattice="3.270 0.000 0.000 0.000 17.094 0.000 0.000 0.000 9.456" Properties=species:S:1:pos:R:3 pbc="T T T"
Rb 1.635 12.268 7.266
Rb 1.635 4.826 7.266
Rb 1.635 3.721 2.538
Rb 1.635 13.373 2.538
Rb 1.635 0.000 8.925
Rb 1.635 8.547 4.198
Hf 0.000 1.428 5.436
Hf 0.000 15.666 5.436
Hf 0.000 9.975 0.708
Hf 0.000 7.119 0.708
Hf 1.635 0.000 3.475
Hf 1.635 8.547 8.203
```

---

An optimized crystal structure of Rb3Hf. Source: Alexandria, functional PBE.

Cell and atoms, written as extended XYZ:
```
8
Lattice="4.383 -7.591 0.000 4.383 7.591 0.000 0.000 0.000 6.933" Properties=species:S:1:pos:R:3 pbc="T T T"
Rb 2.328 1.344 1.733
Rb 6.437 1.344 1.733
Rb 4.383 4.903 1.733
Rb 6.437 -1.344 5.200
Rb 2.328 -1.344 5.200
Rb 4.383 -4.903 5.200
Hf 4.383 2.530 5.200
Hf 4.383 -2.530 1.733
```

---

Ordered E_form results: 0.180, 0.315, 0.081, 0.056, 0.061, 0.033, 0.185, 0.040, 0.661, 1.197, 0.847, 1.162; unit eV/atom.